The following is a GGA-PBE calculation of a relaxed structure of PmDyZr, from the Alexandria database.

abc: 3.782 3.782 12.637
angles: 90.00 90.00 90.00
Atoms (fractional coordinates):
Dy 0.500 0.000 0.794
Zr 0.500 0.000 0.051
Pm 0.500 0.000 0.403
Zr 0.000 0.500 0.949
Dy 0.000 0.500 0.206
Pm 0.000 0.500 0.597

- Formation enthalpy at 0 K: 76 meV/atom
- Magnetic moment: 0.00 μB per cell
- Energy above the lowest structure with this stoichiometry: 0.000 eV per atom
- Total DFT energy (no corrections): -0.2165 hartree per atom
- Space group: P4/nmm